# 1
A plane-wave DFT calculation with GGA-PBE was carried out for a relaxed LiHoMg4 crystal.

Output
Its excess energy over the best structure of this formula in the dataset is 0.000 eV per formula unit. The space group is No. 123. As for the energy of formation: -55.9 meV per atom.

```
LiHoMg4
1.0
-0.118 -0.758 3.335
-3.259 -0.986 -0.340
3.602 -11.081 -2.390
Li Ho Mg
1 1 4
direct
0.500 0.500 0.500 Li
0.000 0.000 0.000 Ho
0.500 0.500 0.807 Mg
0.500 0.500 0.193 Mg
0.000 0.000 0.642 Mg
0.000 0.000 0.358 Mg
```


# 2
A plane-wave DFT calculation with GGA-PBE was carried out for a relaxed VTe2Cl crystal.

Output
Its excess energy over the best structure of this formula in the dataset is 1.874 eV per formula unit. The space group is No. 225. The value obtained for the formation energy from raw total energies is 0.197 eV/atom.

```
VTe2Cl
1.0
0.000 3.532 3.532
3.532 0.000 3.532
3.532 3.532 0.000
V Te Cl
1 2 1
direct
0.500 0.500 0.500 V
0.250 0.250 0.250 Te
0.750 0.750 0.750 Te
0.000 0.000 0.000 Cl
```


# 3
A plane-wave DFT calculation with GGA-PBE was carried out for a relaxed KSrI2O crystal.

Output
Its excess energy over the best structure of this formula in the dataset is 0.000 eV per formula unit. The space group is No. 123. The value obtained for the formation energy from raw total energies is -1.341 eV/atom.

```
KSrI2O
1.0
6.578 0.000 0.000
0.000 6.578 0.000
0.000 0.000 4.641
I Sr K O
2 1 1 1
direct
0.000 0.500 0.000 I
0.500 0.000 0.000 I
0.000 0.000 0.000 Sr
0.500 0.500 0.500 K
0.000 0.000 0.500 O
```


# 4
A plane-wave DFT calculation with GGA-PBE was carried out for a relaxed AsHRhSe2 crystal.

Output
Its excess energy over the best structure of this formula in the dataset is 1.463 eV per formula unit. The space group is No. 123.

```
AsHRhSe2
1.0
5.039 0.000 0.000
0.000 5.039 0.000
0.000 0.000 4.644
H As Rh Se
1 1 1 2
direct
0.500 0.500 0.500 H
0.000 0.000 0.500 As
0.000 0.000 0.000 Rh
0.000 0.500 0.000 Se
0.500 0.000 0.000 Se
```


# 5
A plane-wave DFT calculation with GGA-PBE was carried out for a relaxed Nd6AlCu2 crystal.

Output
The space group is No. 71. As for the energy of formation: -133.4 meV per atom.

```
Nd6AlCu2
1.0
-5.490 6.116 2.932
-3.390 -4.751 -6.487
1.790 -5.470 6.559
Nd Al Cu
12 2 4
direct
0.543 0.725 0.818 Nd
0.457 0.275 0.182 Nd
0.093 0.275 0.818 Nd
0.907 0.725 0.182 Nd
0.805 0.759 0.564 Nd
0.195 0.241 0.436 Nd
0.195 0.759 0.953 Nd
0.805 0.241 0.047 Nd
0.703 0.380 0.677 Nd
0.297 0.620 0.323 Nd
0.297 0.974 0.677 Nd
0.703 0.026 0.323 Nd
0.000 0.500 0.500 Al
0.000 0.000 0.000 Al
0.500 0.381 0.881 Cu
0.500 0.619 0.119 Cu
0.646 0.000 0.646 Cu
0.354 0.000 0.354 Cu
```


# 6
A plane-wave DFT calculation with GGA-PBE was carried out for a relaxed Be2CdTc crystal.

Output
The space group is No. 122. As for the energy of formation: 568.2 meV per atom.

```
Be2CdTc
1.0
-4.531 0.492 -4.409
-4.357 -1.685 4.289
-4.806 2.031 0.605
Be Tc Cd
4 2 2
direct
0.608 0.125 0.250 Be
0.142 0.625 0.250 Be
0.375 0.392 0.750 Be
0.875 0.858 0.750 Be
0.500 0.500 0.000 Tc
0.250 0.750 0.500 Tc
0.000 0.000 0.000 Cd
0.750 0.250 0.500 Cd
```


# 7
A plane-wave DFT calculation with GGA-PBE was carried out for a relaxed Zn2TeP crystal.

Output
Its excess energy over the best structure of this formula in the dataset is 2.359 eV per formula unit. The space group is No. 225. The value obtained for the formation energy from raw total energies is 0.418 eV/atom.

```
Zn2TeP
1.0
0.000 3.379 3.379
3.379 0.000 3.379
3.379 3.379 0.000
P Zn Te
1 2 1
direct
0.000 0.000 0.000 P
0.250 0.250 0.250 Zn
0.750 0.750 0.750 Zn
0.500 0.500 0.500 Te
```


# 8
A plane-wave DFT calculation with GGA-PBE was carried out for a relaxed GaHW crystal.

Output
Its excess energy over the best structure of this formula in the dataset is 0.438 eV per formula unit. The space group is No. 2.

```
GaHW
1.0
5.085 0.019 0.553
-2.492 3.626 -1.097
-0.353 -2.509 4.403
H Ga W
2 2 2
direct
0.759 0.682 0.604 H
0.241 0.318 0.396 H
0.144 0.719 0.869 Ga
0.856 0.281 0.131 Ga
0.417 0.270 0.661 W
0.583 0.730 0.339 W
```


# 9
A plane-wave DFT calculation with GGA-PBE was carried out for a relaxed La3TmTh2 crystal.

Output
Its excess energy over the best structure of this formula in the dataset is 3.245 eV per formula unit. The space group is No. 58. As for the energy of formation: 581.6 meV per atom.

```
La3TmTh2
1.0
3.490 0.000 0.000
0.000 11.847 0.000
0.000 0.000 11.223
La Tm Th
6 2 4
direct
0.000 0.000 0.000 La
0.500 0.500 0.500 La
0.500 0.914 0.760 La
0.500 0.086 0.240 La
0.000 0.414 0.740 La
0.000 0.586 0.260 La
0.000 0.000 0.500 Tm
0.500 0.500 0.000 Tm
0.500 0.776 0.097 Th
0.000 0.276 0.403 Th
0.000 0.724 0.597 Th
0.500 0.224 0.903 Th
```


# 10
A plane-wave DFT calculation with GGA-PBE was carried out for a relaxed Nd3Ni2As3 crystal.

Output
The space group is No. 63. As for the energy of formation: -1004.8 meV per atom.

```
Nd3Ni2As3
1.0
-1.114 -3.998 -0.393
4.110 0.619 4.156
-10.335 1.903 9.937
Nd Ni As
6 4 6
direct
0.924 0.847 0.393 Nd
0.076 0.153 0.893 Nd
0.924 0.847 0.107 Nd
0.076 0.153 0.607 Nd
0.641 0.282 0.250 Nd
0.359 0.718 0.750 Nd
0.775 0.550 0.903 Ni
0.225 0.450 0.403 Ni
0.775 0.550 0.597 Ni
0.225 0.450 0.097 Ni
0.638 0.276 0.453 As
0.362 0.724 0.953 As
0.638 0.276 0.047 As
0.362 0.724 0.547 As
0.344 0.689 0.250 As
0.656 0.311 0.750 As
```


# 11
A plane-wave DFT calculation with GGA-PBE was carried out for a relaxed KSnTe4Au2 crystal.

Output
The space group is No. 23. The value obtained for the formation energy from raw total energies is -0.270 eV/atom.

```
KSnTe4Au2
1.0
-6.566 3.590 -1.299
-5.666 -0.805 4.212
-1.063 6.770 1.878
K Sn Te Au
1 1 4 2
direct
0.000 0.000 0.000 K
0.000 0.500 0.500 Sn
0.574 0.538 0.881 Te
0.426 0.119 0.462 Te
0.992 0.462 0.119 Te
0.008 0.881 0.538 Te
0.500 0.665 0.335 Au
0.500 0.335 0.665 Au
```


# 12
A plane-wave DFT calculation with GGA-PBE was carried out for a relaxed TbGa4Ni8 crystal.

Output
The space group is No. 139. As for the energy of formation: -351.5 meV per atom.

```
TbGa4Ni8
1.0
-2.930 0.408 -4.081
2.803 -2.051 -5.330
-3.557 -5.164 -1.075
Tb Ga Ni
1 4 8
direct
0.000 0.000 0.000 Tb
0.000 0.000 0.500 Ga
0.500 0.000 0.500 Ga
0.000 0.500 0.000 Ga
0.500 0.500 0.000 Ga
0.000 0.352 0.648 Ni
0.000 0.648 0.352 Ni
0.352 0.648 0.648 Ni
0.648 0.352 0.352 Ni
0.500 0.775 0.225 Ni
0.500 0.225 0.775 Ni
0.275 0.225 0.225 Ni
0.725 0.775 0.775 Ni
```


# 13
A plane-wave DFT calculation with GGA-PBE was carried out for a relaxed LaInFe2 crystal.

Output
The space group is No. 47. As for the energy of formation: 247.7 meV per atom.

```
LaInFe2
1.0
3.516 0.000 0.000
0.000 3.500 0.043
0.000 3.420 6.638
Fe In La
2 1 1
direct
0.000 0.928 0.072 Fe
0.000 0.572 0.428 Fe
0.500 0.250 0.250 In
0.500 0.750 0.750 La
```


# 14
A plane-wave DFT calculation with GGA-PBE was carried out for a relaxed Ho4NiIr crystal.

Output
Its excess energy over the best structure of this formula in the dataset is 0.000 eV per formula unit. The space group is No. 11. As for the energy of formation: -479.7 meV per atom.

```
Ho4NiIr
1.0
-0.436 -0.450 -6.113
0.432 -6.628 0.457
-6.948 -0.260 2.801
Ho Ni Ir
8 2 2
direct
0.558 0.250 0.392 Ho
0.442 0.750 0.608 Ho
0.568 0.250 0.891 Ho
0.432 0.750 0.109 Ho
0.001 0.000 0.257 Ho
0.999 0.500 0.743 Ho
0.001 0.500 0.257 Ho
0.999 0.000 0.743 Ho
0.232 0.250 0.561 Ni
0.768 0.750 0.439 Ni
0.221 0.250 0.053 Ir
0.779 0.750 0.947 Ir
```


# 15
A plane-wave DFT calculation with GGA-PBE was carried out for a relaxed CaCoSe crystal.

Output
Its excess energy over the best structure of this formula in the dataset is 1.402 eV per formula unit. The space group is No. 107. The value obtained for the formation energy from raw total energies is -0.286 eV/atom.

```
CaCoSe
1.0
-5.359 1.178 -1.147
-4.671 -1.873 -2.467
-1.910 -1.463 2.394
Ca Co Se
1 1 1
direct
0.000 0.000 0.000 Ca
0.706 0.706 0.294 Co
0.294 0.294 0.706 Se
```


# 16
A plane-wave DFT calculation with GGA-PBE was carried out for a relaxed AcZn2IrO8 crystal.

Output
The space group is No. 2. The value obtained for the formation energy from raw total energies is -1.190 eV/atom.

```
AcZn2IrO8
1.0
-3.054 -1.858 3.192
-2.999 -0.950 -3.226
2.903 -6.313 -0.880
Ac Zn Ir O
1 2 1 8
direct
0.000 0.000 0.500 Ac
0.500 0.499 0.768 Zn
0.500 0.501 0.232 Zn
0.000 0.000 0.000 Ir
0.150 0.751 0.199 O
0.678 0.769 0.000 O
0.849 0.248 0.198 O
0.850 0.249 0.801 O
0.322 0.231 0.000 O
0.151 0.752 0.802 O
0.531 0.741 0.500 O
0.469 0.259 0.500 O
```


# 17
A plane-wave DFT calculation with GGA-PBE was carried out for a relaxed CaCu2W crystal.

Output
Its excess energy over the best structure of this formula in the dataset is 0.553 eV per formula unit. The space group is No. 44. As for the energy of formation: 537.8 meV per atom.

```
CaCu2W
1.0
-1.966 -2.491 -4.776
2.790 -4.320 -2.537
-2.868 2.322 4.388
Ca Cu W
1 2 1
direct
0.238 0.738 0.500 Ca
0.971 0.971 0.000 Cu
0.761 0.261 0.500 Cu
0.530 0.530 0.000 W
```


# 18
A plane-wave DFT calculation with GGA-PBE was carried out for a relaxed BePd crystal.

Output
The space group is No. 176. As for the energy of formation: -239.7 meV per atom.

```
BePd
1.0
6.485 0.000 0.000
-3.242 5.616 0.000
0.000 0.000 4.333
Be Pd
6 6
direct
0.627 0.080 0.250 Be
0.547 0.627 0.750 Be
0.920 0.547 0.250 Be
0.373 0.920 0.750 Be
0.453 0.373 0.250 Be
0.080 0.453 0.750 Be
0.042 0.285 0.250 Pd
0.757 0.042 0.750 Pd
0.715 0.757 0.250 Pd
0.958 0.715 0.750 Pd
0.243 0.958 0.250 Pd
0.285 0.243 0.750 Pd
```


# 19
A plane-wave DFT calculation with GGA-PBE was carried out for a relaxed K2In2Br crystal.

Output
The space group is No. 139. The value obtained for the formation energy from raw total energies is -0.669 eV/atom.

```
K2In2Br
1.0
4.239 0.000 0.000
0.000 4.239 0.000
2.119 2.119 10.192
K Br In
2 1 2
direct
0.407 0.407 0.186 K
0.593 0.593 0.814 K
0.000 0.000 0.000 Br
0.750 0.250 0.500 In
0.250 0.750 0.500 In
```


# 20
A plane-wave DFT calculation with GGA-PBE was carried out for a relaxed Rb3OsBr6 crystal.

Output
The space group is No. 225. The value obtained for the formation energy from raw total energies is -0.993 eV/atom.

```
Rb3OsBr6
1.0
8.112 0.000 0.000
0.000 8.112 0.000
4.056 4.056 5.736
Os Br Rb
1 6 3
direct
0.000 0.000 0.000 Os
0.220 0.220 0.561 Br
0.780 0.780 0.439 Br
0.220 0.220 0.000 Br
0.780 0.780 0.000 Br
0.780 0.220 0.000 Br
0.220 0.780 0.000 Br
0.500 0.500 0.000 Rb
0.750 0.250 0.500 Rb
0.250 0.750 0.500 Rb
```


# 21
A plane-wave DFT calculation with GGA-PBE was carried out for a relaxed K2Zn3PtF12 crystal.

Output
The space group is No. 166. The value obtained for the formation energy from raw total energies is -2.185 eV/atom.

```
K2Zn3PtF12
1.0
7.679 0.243 0.172
4.003 6.557 0.172
4.003 2.330 6.131
K Zn Pt F
2 3 1 12
direct
0.596 0.596 0.596 K
0.404 0.404 0.404 K
0.500 0.000 0.000 Zn
0.000 0.500 0.000 Zn
0.000 0.000 0.500 Zn
0.000 0.000 0.000 Pt
0.327 0.327 0.920 F
0.923 0.923 0.318 F
0.318 0.923 0.923 F
0.920 0.327 0.327 F
0.923 0.318 0.923 F
0.327 0.920 0.327 F
0.673 0.673 0.080 F
0.077 0.077 0.682 F
0.682 0.077 0.077 F
0.080 0.673 0.673 F
0.077 0.682 0.077 F
0.673 0.080 0.673 F
```


# 22
A plane-wave DFT calculation with GGA-PBE was carried out for a relaxed ZnAg4Au crystal.

Output
Its excess energy over the best structure of this formula in the dataset is 1.370 eV per formula unit. The space group is No. 216. As for the energy of formation: 215.5 meV per atom.

```
ZnAg4Au
1.0
0.000 3.856 3.856
3.856 0.000 3.856
3.856 3.856 0.000
Zn Ag Au
1 4 1
direct
0.000 0.000 0.000 Zn
0.375 0.875 0.375 Ag
0.875 0.375 0.375 Ag
0.375 0.375 0.875 Ag
0.375 0.375 0.375 Ag
0.750 0.750 0.750 Au
```


# 23
A plane-wave DFT calculation with GGA-PBE was carried out for a relaxed AlHCl crystal.

Output
The energy is -10.68 eV per formula unit. The space group is No. 14.

```
AlHCl
1.0
7.736 0.000 0.000
0.000 5.298 -0.457
0.000 -2.571 5.696
Al H Cl
4 4 4
direct
0.839 0.432 0.989 Al
0.339 0.068 0.011 Al
0.161 0.568 0.011 Al
0.661 0.932 0.989 Al
0.736 0.320 0.164 H
0.236 0.180 0.836 H
0.264 0.680 0.836 H
0.764 0.820 0.164 H
0.629 0.395 0.721 Cl
0.129 0.105 0.279 Cl
0.371 0.605 0.279 Cl
0.871 0.895 0.721 Cl
```


# 24
A plane-wave DFT calculation with GGA-PBE was carried out for a relaxed Be2PAu2 crystal.

Output
Its excess energy over the best structure of this formula in the dataset is 0.000 eV per formula unit. The space group is No. 139. As for the energy of formation: 96.5 meV per atom.

```
Be2PAu2
1.0
3.420 0.000 0.000
0.000 3.420 0.000
1.710 1.710 6.205
P Au Be
1 2 2
direct
0.000 0.000 0.000 P
0.379 0.379 0.241 Au
0.621 0.621 0.759 Au
0.750 0.250 0.500 Be
0.250 0.750 0.500 Be
```


Spin magnetization in μB per formula unit, matching the order above: 0.159, 2.138, 1.012, 0.256, 0.000, 0.000, 0.000, 0.000, 0.000, 0.438, 0.000, 0.000, 3.934, 0.000, 1.478, 0.000, 0.001, 0.000, 0.000, 1.000, 0.000, 0.000, 0.000, 0.000